No. 1
Mn2PtW | Alexandria via LeMat-Bulk | PBE | relaxed; ΔE_f = 0.1116 eV per atom; uncorrected energy = -36.89 eV per formula unit; polymorph energy (0 for the lowest one) = 214 meV per atom; DOS at the Fermi energy = 1.11 states/eV per atom
1.0
1.393 0.804 8.772
-1.393 0.804 8.772
0.000 -1.608 8.772
Mn Pt W
2 1 1
direct
0.250 0.250 0.250
0.750 0.750 0.750
0.000 0.000 0.000
0.500 0.500 0.500

=====

No. 2
MnPtW2 | Alexandria via LeMat-Bulk | PBE | relaxed; ΔE_f = 0.0465 eV per atom; uncorrected energy = -40.93 eV per formula unit; polymorph energy (0 for the lowest one) = 110 meV per atom; DOS at the Fermi energy = 1.10 states/eV per atom
1.0
-1.953 1.953 3.889
1.953 -1.953 3.889
1.953 1.953 -3.889
Mn Pt W
1 1 2
direct
0.000 0.000 0.000
0.750 0.250 0.500
0.250 0.750 0.500
0.500 0.500 0.000

=====

No. 3
Mn3Pt12W | Alexandria via LeMat-Bulk | PBE | relaxed; ΔE_f = -0.3401 eV per atom; uncorrected energy = -118.39 eV per formula unit; DOS at the Fermi energy = 0.89 states/eV per atom
1.0
3.945 0.000 0.000
0.000 3.945 0.000
0.000 0.000 15.775
Mn Pt W
3 12 1
direct
0.000 0.000 0.000
0.000 0.000 0.245
0.000 0.000 0.755
0.000 0.500 0.124
0.000 0.500 0.377
0.000 0.500 0.623
0.000 0.500 0.876
0.500 0.000 0.124
0.500 0.000 0.377
0.500 0.000 0.623
0.500 0.000 0.876
0.500 0.500 0.000
0.500 0.500 0.250
0.500 0.500 0.500
0.500 0.500 0.750
0.000 0.000 0.500

=====

No. 4
MnPtW2 | Alexandria via LeMat-Bulk | PBE | relaxed; ΔE_f = 0.0782 eV per atom; uncorrected energy = -40.80 eV per formula unit; polymorph energy (0 for the lowest one) = 141 meV per atom; DOS at the Fermi energy = 1.05 states/eV per atom
1.0
4.651 -1.369 0.000
4.651 1.369 0.000
-0.778 0.000 4.782
Mn Pt W
1 1 2
direct
0.000 0.000 0.000
0.500 0.500 0.500
0.247 0.247 0.752
0.753 0.753 0.248